1.
# PBE-GGA TaPOs2, relaxed
data_TaPOs2
_chemical_formula_sum 'Ta1 P1 Os2'
_cell_length_a 2.8910
_cell_length_b 2.8910
_cell_length_c 6.9242
_cell_angle_alpha 90.00
_cell_angle_beta 90.00
_cell_angle_gamma 90.00
_symmetry_space_group_name_H-M 'P 4 m m'
_symmetry_Int_Tables_number 99
_symmetry_space_group_name_Hall 'P 4 -2'
loop_
_atom_site_label
_atom_site_fract_x
_atom_site_fract_y
_atom_site_fract_z
_atom_site_occupancy
Ta1 0.0000 0.0000 0.0000 1
P1 0.5000 0.5000 0.7592 1
Os1 0.0000 0.0000 0.5485 1
Os2 0.5000 0.5000 0.2861 1
# Final energy (eV/cell): -40.13
# Calculated volume (Å³ per cell): 57.9
# Energy relative to the elements (eV per atom): -0.10

2.
# PBE-GGA CoSi2Rh, relaxed
data_CoSi2Rh
_chemical_formula_sum 'Co4 Si8 Rh4'
_cell_length_a 5.7959
_cell_length_b 5.7959
_cell_length_c 5.7959
_cell_angle_alpha 90.00
_cell_angle_beta 90.00
_cell_angle_gamma 90.00
_symmetry_space_group_name_H-M 'F m -3 m'
_symmetry_Int_Tables_number 225
_symmetry_space_group_name_Hall '-F 4 2 3'
loop_
_atom_site_label
_atom_site_fract_x
_atom_site_fract_y
_atom_site_fract_z
_atom_site_occupancy
Co1 0.0000 0.0000 0.0000 1
Si1 0.2500 0.2500 0.2500 1
Rh1 0.0000 0.0000 0.5000 1
# Final energy (eV/cell): -107.92
# Polymorph energy (0 for the lowest one) (meV/atom): 167
# Calculated volume (Å³ per cell): 194.7
# Formation energy (no corrections) (eV/atom): -0.419

3.
# PBE-GGA CaInBr2, relaxed
data_CaInBr2
_chemical_formula_sum 'Ca2 In2 Br4'
_cell_length_a 4.2011
_cell_length_b 7.4054
_cell_length_c 10.8387
_cell_angle_alpha 96.92
_cell_angle_beta 90.28
_cell_angle_gamma 90.01
_symmetry_space_group_name_H-M 'P 1'
_symmetry_Int_Tables_number 1
_symmetry_space_group_name_Hall 'P 1'
loop_
_atom_site_label
_atom_site_fract_x
_atom_site_fract_y
_atom_site_fract_z
_atom_site_occupancy
Ca1 0.0000 0.0000 0.0000 1
Ca2 0.5000 0.4972 0.9965 1
In1 0.1664 0.8915 0.4943 1
In2 0.6662 0.6045 0.5029 1
Br1 0.0023 0.6912 0.1451 1
Br2 0.4984 0.8061 0.8514 1
Br3 0.5022 0.1947 0.1472 1
Br4 0.9984 0.3027 0.8493 1
# Final energy (eV/cell): -26.40
# Polymorph energy (0 for the lowest one) (meV/atom): 0
# Calculated volume (Å³ per cell): 334.7
# Formation energy (no corrections) (eV/atom): -1.278